(1)
Crystalline HfO2F2 at its relaxed geometry. Source: Alexandria via LeMat-Bulk, functional PBE-GGA.

a = 3.608 Å, b = 3.608 Å, c = 4.179 Å
α = 90.00°, β = 90.00°, γ = 90.00°
Sites, in units of the cell vectors:
1 Hf 0.500 0.500 0.500
2 O 0.000 0.000 0.000
3 O 0.000 0.000 0.500
4 F 0.000 0.500 0.000
5 F 0.500 0.000 0.000

Summary:
SG   No. 123
Calculated volume   10.881 Å³/atom
ρ   7.58 g cm⁻³
D(E_F)   1.8 states/eV/cell
Raw total energy   -25.5 eV for the cell shown
Formation energy without anion corrections   -36 kJ/mol of atoms


(2)
Crystalline Mg4Si7 at its relaxed geometry. Source: Alexandria via LeMat-Bulk, functional PBE-GGA.

a = 4.344 Å, b = 6.899 Å, c = 13.458 Å
α = 85.92°, β = 89.76°, γ = 89.33°
Sites, in units of the cell vectors:
1 Mg 0.202 0.053 0.924
2 Mg 0.209 0.364 0.509
3 Mg 0.743 0.219 0.340
4 Mg 0.687 0.535 0.659
5 Mg 0.190 0.495 0.847
6 Mg 0.686 0.683 0.189
7 Mg 0.687 0.689 0.425
8 Mg 0.729 0.040 0.584
9 Si 0.690 0.319 0.957
10 Si 0.694 0.663 0.967
11 Si 0.191 0.693 0.048
12 Si 0.203 0.388 0.152
13 Si 0.184 0.734 0.560
14 Si 0.256 0.009 0.442
15 Si 0.714 0.183 0.126
16 Si 0.709 0.836 0.806
17 Si 0.208 0.214 0.701
18 Si 0.219 0.989 0.136
19 Si 0.234 0.499 0.316
20 Si 0.709 0.199 0.795
21 Si 0.213 0.853 0.722
22 Si 0.138 0.848 0.298

Summary:
SG   No. 1
Calculated volume   18.284 Å³/atom
ρ   2.43 g cm⁻³
D(E_F)   8.2 states/eV/cell
Raw total energy   -86.4 eV for the cell shown
Formation energy without anion corrections   10 kJ/mol of atoms


> Which of these has the lowest D(E_F)?

HfO2F2